(1)
First-principles (PBE-GGA) data for a relaxed Cs3Ac3TaSe8 crystal, as listed in Alexandria.

Unit cell a=8.8532 b=8.8535 c=10.0082 alpha=116.29 beta=90.00 gamma=120.00
Atoms (fractional coordinates):
Ac: 0.5000 0.0000 0.5000
Ac: 0.0000 0.5000 0.5000
Ac: 0.5000 0.5000 0.5000
Se: 0.2299 0.0260 0.3224
Se: 0.7961 0.0260 0.3224
Se: 0.7701 0.9740 0.6776
Se: 0.7342 0.4684 0.7023
Se: 0.2039 0.9740 0.6776
Se: 0.7960 0.5921 0.3224
Se: 0.2040 0.4079 0.6776
Se: 0.2658 0.5316 0.2977
Cs: 0.0000 0.0000 0.0000
Cs: 0.0000 0.5000 0.0000
Cs: 0.5000 0.5000 0.0000
Ta: 0.0000 0.0000 0.5000

Values from the calculation:
The space group is No. 166. Its total energy is -5.152 eV per atom.



(2)
First-principles (PBE-GGA) data for a relaxed Cs4Ac3TaSe8 crystal, as listed in Alexandria.

Unit cell a=8.9115 b=9.8772 c=8.9119 alpha=116.84 beta=120.00 gamma=90.00
Atoms (fractional coordinates):
Ac: 0.0000 0.5000 0.5000
Ac: 0.5000 0.5000 0.5000
Ac: 0.5000 0.5000 0.0000
Cs: 0.0000 0.0000 0.5000
Cs: 0.0000 0.0000 0.0000
Cs: 0.5000 0.0000 0.5000
Cs: 0.5000 0.0000 0.0000
Se: 0.7648 0.6851 0.9751
Se: 0.2653 0.2960 0.5305
Se: 0.2352 0.3149 0.0249
Se: 0.2104 0.6853 0.4208
Se: 0.7897 0.3149 0.0249
Se: 0.7347 0.7040 0.4695
Se: 0.7896 0.3147 0.5792
Se: 0.2103 0.6851 0.9751
Ta: 0.0000 0.5000 0.0000

Values from the calculation:
The space group is No. 166. Its total energy is -4.920 eV per atom.



(3)
First-principles (PBE-GGA) data for a relaxed Cs3Ac2TbSe6 crystal, as listed in Alexandria.

Unit cell a=7.8342 b=7.8342 c=8.8190 alpha=98.52 beta=98.52 gamma=120.00
Atoms (fractional coordinates):
Ac: 0.3335 0.6665 0.0000
Ac: 0.6665 0.3335 0.0000
Se: 0.6201 0.9359 0.8079
Se: 0.2512 0.2512 0.8071
Se: 0.7488 0.7488 0.1929
Se: 0.0641 0.3799 0.1921
Se: 0.3799 0.0641 0.1921
Se: 0.9359 0.6201 0.8079
Cs: 0.5000 0.5000 0.5000
Cs: 0.1685 0.8315 0.5000
Cs: 0.8315 0.1685 0.5000
Tb: 0.0000 0.0000 0.0000

Values from the calculation:
The space group is No. 12. Its total energy is -4.799 eV per atom.



(4)
First-principles (PBE-GGA) data for a relaxed Cs4Ac3TbSe8 crystal, as listed in Alexandria.

Unit cell a=9.1070 b=9.9349 c=9.1071 alpha=117.30 beta=120.00 gamma=90.00
Atoms (fractional coordinates):
Se: 0.2225 0.6914 0.9691
Se: 0.7775 0.3086 0.0309
Se: 0.2534 0.3086 0.0309
Se: 0.7331 0.6991 0.4662
Se: 0.2225 0.6914 0.4450
Se: 0.7775 0.3086 0.5550
Se: 0.7466 0.6914 0.9691
Se: 0.2669 0.3009 0.5338
Cs: 0.5000 0.0000 0.0000
Cs: 0.0000 0.0000 0.0000
Cs: 0.0000 0.0000 0.5000
Cs: 0.5000 0.0000 0.5000
Ac: 0.5000 0.5000 0.0000
Ac: 0.0000 0.5000 0.5000
Ac: 0.5000 0.5000 0.5000
Tb: 0.0000 0.5000 0.0000

Values from the calculation:
The space group is No. 166. Its total energy is -4.792 eV per atom.



(5)
First-principles (PBE-GGA) data for a relaxed Cs3AcTb2Se6 crystal, as listed in Alexandria.

Unit cell a=7.6273 b=7.6273 c=8.7844 alpha=98.34 beta=98.34 gamma=119.99
Atoms (fractional coordinates):
Se: 0.4145 0.0632 0.1893
Se: 0.0632 0.4145 0.1893
Se: 0.2884 0.2884 0.8118
Se: 0.7116 0.7116 0.1882
Se: 0.9368 0.5855 0.8107
Se: 0.5855 0.9368 0.8107
Cs: 0.1639 0.8361 0.5000
Cs: 0.5000 0.5000 0.5000
Cs: 0.8361 0.1639 0.5000
Tb: 0.6669 0.3331 0.0000
Tb: 0.3331 0.6669 0.0000
Ac: 0.0000 0.0000 0.0000

Values from the calculation:
The space group is No. 12. Its total energy is -4.817 eV per atom.



(6)
First-principles (PBE-GGA) data for a relaxed Cs2Ac2Te2Se crystal, as listed in Alexandria.

Unit cell a=5.9567 b=5.9567 c=10.4575 alpha=106.55 beta=106.55 gamma=90.00
Atoms (fractional coordinates):
Te: 0.6060 0.6060 0.2119
Te: 0.3940 0.3940 0.7881
Ac: 0.0000 0.5000 0.0000
Ac: 0.5000 0.0000 0.0000
Cs: 0.1899 0.1899 0.3799
Cs: 0.8101 0.8101 0.6201
Se: 0.0000 0.0000 0.0000

Values from the calculation:
The space group is No. 139. Its total energy is -4.017 eV per atom.



(7)
First-principles (PBE-GGA) data for a relaxed Cs3Ac3ThSe8 crystal, as listed in Alexandria.

Unit cell a=9.1287 b=9.1302 c=10.0358 alpha=117.07 beta=90.00 gamma=119.99
Atoms (fractional coordinates):
Se: 0.7807 0.5613 0.3142
Se: 0.2193 0.9666 0.6858
Se: 0.2527 0.0334 0.3142
Se: 0.7807 0.0334 0.3142
Se: 0.7318 0.4637 0.6954
Se: 0.2193 0.4387 0.6858
Se: 0.2682 0.5363 0.3046
Se: 0.7473 0.9666 0.6858
Th: 0.0000 0.0000 0.5000
Ac: 0.0000 0.5000 0.5000
Ac: 0.5000 0.5000 0.5000
Ac: 0.5000 0.0000 0.5000
Cs: 0.0000 0.5000 0.0000
Cs: 0.0000 0.0000 0.0000
Cs: 0.5000 0.5000 0.0000

Values from the calculation:
The space group is No. 166. Its total energy is -5.152 eV per atom.



(8)
First-principles (PBE-GGA) data for a relaxed CsAcTiSe4 crystal, as listed in Alexandria.

Unit cell a=7.2647 b=7.1764 c=10.0133 alpha=90.00 beta=107.76 gamma=90.00
Atoms (fractional coordinates):
Se: 0.4046 0.7500 0.5653
Se: 0.4154 0.7500 0.1776
Se: 0.0081 0.5071 0.7119
Se: 0.9919 0.0071 0.2881
Se: 0.9919 0.4929 0.2881
Se: 0.5954 0.2500 0.4347
Se: 0.0081 0.9929 0.7119
Se: 0.5846 0.2500 0.8224
Ti: 0.7864 0.2500 0.6744
Ti: 0.2136 0.7500 0.3256
Cs: 0.7239 0.7500 0.9354
Cs: 0.2761 0.2500 0.0646
Ac: 0.7703 0.7500 0.4525
Ac: 0.2297 0.2500 0.5475

Values from the calculation:
The space group is No. 11. Its total energy is -5.375 eV per atom.